No. 1
The following is a DFT calculation (PBE) of a relaxed Pb4Se2Br5 crystal.

Lattice parameters (Å, degrees): 4.325 8.260 12.353 88.10 100.08 90.00
Fractional positions:
Pb (0.674, 0.589, 0.347)
Br (0.800, 0.660, 0.599)
Br (0.200, 0.340, 0.401)
Se (0.559, 0.485, 0.118)
Pb (0.023, 0.722, 0.047)
Br (0.139, 0.838, 0.279)
Br (0.500, 0.000, 0.000)
Pb (0.326, 0.411, 0.653)
Se (0.441, 0.515, 0.882)
Br (0.861, 0.162, 0.721)
Pb (0.977, 0.278, 0.953)

Energy relative to the elements, uncorrected, eV/atom: -0.686
Total magnetic moment, μB/f.u.: 0.00

=====

No. 2
The following is a DFT calculation (PBE) of a relaxed CaSe crystal.

Lattice parameters (Å, degrees): 4.180 12.291 7.270 90.00 90.00 90.00
Fractional positions:
Ca (0.000, 0.000, 0.543)
Se (0.000, 0.687, 0.808)
Ca (0.500, 0.306, 0.521)
Se (0.500, 0.500, 0.300)
Ca (0.500, 0.806, 0.021)
Se (0.000, 0.313, 0.808)
Ca (0.000, 0.500, 0.043)
Se (0.000, 0.813, 0.308)
Se (0.500, 0.000, 0.800)
Ca (0.500, 0.694, 0.521)
Ca (0.500, 0.194, 0.021)
Se (0.000, 0.187, 0.308)

Energy relative to the elements, uncorrected, eV/atom: -1.825
Total magnetic moment, μB/f.u.: 0.00

=====

No. 3
The following is a DFT calculation (PBE) of a relaxed Fe5Ni8W crystal.

Lattice parameters (Å, degrees): 6.353 6.353 6.114 122.34 118.42 91.55
Site moments in Bohr magnetons follow the coordinates.
Fractional positions:
Ni (0.643, 0.237, 0.201)  0.64
Ni (0.914, 0.692, 0.155)  0.30
Ni (0.573, 0.326, 0.608)  0.43
Fe (0.850, 0.212, 0.948)  2.40
Ni (0.719, 0.965, 0.392)  0.43
Fe (0.085, 0.165, 0.366)  2.73
Fe (0.799, 0.718, 0.634)  2.73
Fe (0.480, 0.480, 0.000)  2.77
Fe (0.264, 0.902, 0.052)  2.40
Ni (0.152, 0.042, 0.735)  0.34
Ni (0.036, 0.442, 0.799)  0.64
Ni (0.307, 0.417, 0.265)  0.34
Ni (0.537, 0.759, 0.845)  0.30
W (0.392, 0.892, 0.500)  -0.42

Total magnetic moment, μB/f.u.: 15.68
DFT formation energy, kJ per mole of atoms: 13

=====

No. 4
The following is a DFT calculation (PBE) of a relaxed SrLaW2Cl crystal.

Lattice parameters (Å, degrees): 4.853 6.318 4.853 90.00 90.00 90.00
Fractional positions:
W (0.000, 0.000, 0.500)
W (0.500, 0.000, 0.000)
Cl (0.500, 0.500, 0.500)
Sr (0.000, 0.000, 0.000)
La (0.000, 0.500, 0.000)

Energy relative to the elements, uncorrected, eV/atom: 2.469
Total magnetic moment, μB/f.u.: 0.00

=====

No. 5
The following is a DFT calculation (PBE) of a relaxed PrDyTmAl crystal.

Lattice parameters (Å, degrees): 5.397 5.397 5.397 60.00 60.00 60.00
Fractional positions:
Dy (0.500, 0.500, 0.500)
Al (0.250, 0.250, 0.250)
Tm (0.750, 0.750, 0.750)
Pr (0.000, 0.000, 0.000)

Total magnetic moment, μB/f.u.: 0.01
DFT formation energy, kJ per mole of atoms: -6

=====

No. 6
The following is a DFT calculation (PBE) of a relaxed DyTm3Au crystal.

Lattice parameters (Å, degrees): 7.041 7.041 7.718 101.00 116.90 107.15
Fractional positions:
Tm (0.772, 0.609, 0.783)
Dy (0.303, 0.918, 0.221)
Tm (0.267, 0.547, 0.814)
Dy (0.697, 0.082, 0.779)
Au (0.335, 0.232, 0.567)
Au (0.665, 0.768, 0.433)
Tm (0.228, 0.391, 0.217)
Tm (0.826, 0.988, 0.217)
Tm (0.733, 0.453, 0.186)
Tm (0.174, 0.012, 0.783)

Total magnetic moment, μB/f.u.: 0.00
DFT formation energy, kJ per mole of atoms: -22

=====

No. 7
The following is a DFT calculation (PBE) of a relaxed TbSiAu2 crystal.

Lattice parameters (Å, degrees): 4.271 4.271 5.809 68.43 68.43 60.00
Fractional positions:
Au (0.777, 0.777, 0.669)
Au (0.223, 0.223, 0.331)
Si (0.500, 0.500, 0.500)
Tb (0.000, 0.000, 0.000)

Energy relative to the elements, uncorrected, eV/atom: -0.527
Total magnetic moment, μB/f.u.: 0.00

=====

No. 8
The following is a DFT calculation (PBE) of a relaxed Pm6Ge3P2S crystal.

Lattice parameters (Å, degrees): 4.090 8.547 9.467 105.90 102.47 90.00
Fractional positions:
P (0.166, 0.332, 0.332)
Pm (0.664, 0.093, 0.328)
Ge (0.166, 0.835, 0.332)
Ge (0.834, 0.165, 0.668)
S (0.500, 0.000, 0.000)
Pm (0.330, 0.425, 0.660)
P (0.834, 0.668, 0.668)
Ge (0.500, 0.500, 0.000)
Pm (0.997, 0.755, 0.994)
Pm (0.336, 0.907, 0.672)
Pm (0.003, 0.245, 0.006)
Pm (0.670, 0.575, 0.340)

Energy relative to the elements, uncorrected, eV/atom: -1.234
Total magnetic moment, μB/f.u.: 0.00

=====

No. 9
The following is a DFT calculation (PBE) of a relaxed CeSm2DyTm4 crystal.

Lattice parameters (Å, degrees): 3.534 6.124 11.650 79.85 90.00 90.00
Site moments in Bohr magnetons follow the coordinates.
Fractional positions:
Tm (0.500, 0.746, 0.252)  0.01
Sm (0.000, 0.000, 0.000)  -0.01
Tm (0.500, 0.254, 0.748)  0.01
Ce (0.000, 0.500, 0.500)  0.66
Tm (0.000, 0.747, 0.750)  0.00
Tm (0.000, 0.253, 0.250)  0.00
Dy (0.500, 0.500, 0.000)  -0.01
Sm (0.500, 0.000, 0.500)  0.00

Total magnetic moment, μB/f.u.: 0.81
DFT formation energy, kJ per mole of atoms: 4

=====

No. 10
The following is a DFT calculation (PBE) of a relaxed Dy7Ho12Bi crystal.

Lattice parameters (Å, degrees): 8.677 8.677 8.677 88.91 88.91 88.91
Fractional positions:
Ho (0.113, 0.992, 0.659)
Ho (0.658, 0.534, 0.877)
Ho (0.877, 0.658, 0.534)
Ho (0.466, 0.123, 0.342)
Bi (0.000, 0.000, 0.000)
Dy (0.239, 0.780, 0.373)
Dy (0.780, 0.373, 0.239)
Dy (0.500, 0.500, 0.500)
Ho (0.992, 0.659, 0.113)
Ho (0.659, 0.113, 0.992)
Dy (0.220, 0.627, 0.761)
Dy (0.627, 0.761, 0.220)
Ho (0.534, 0.877, 0.658)
Dy (0.373, 0.239, 0.780)
Ho (0.123, 0.342, 0.466)
Dy (0.761, 0.220, 0.627)
Ho (0.887, 0.008, 0.341)
Ho (0.342, 0.466, 0.123)
Ho (0.341, 0.887, 0.008)
Ho (0.008, 0.341, 0.887)

Total magnetic moment, μB/f.u.: 0.00
DFT formation energy, kJ per mole of atoms: 15

=====

No. 11
The following is a DFT calculation (PBE) of a relaxed Pm4YEr2Tm2 crystal.

Lattice parameters (Å, degrees): 5.043 7.995 8.003 107.39 90.00 108.39
Fractional positions:
Pm (0.554, 0.108, 0.332)
Pm (0.777, 0.553, 0.668)
Tm (0.332, 0.664, 0.000)
Pm (0.223, 0.447, 0.332)
Y (0.000, 0.000, 0.000)
Er (0.112, 0.223, 0.669)
Tm (0.668, 0.336, 0.000)
Er (0.888, 0.777, 0.331)
Pm (0.446, 0.892, 0.668)

Total magnetic moment, μB/f.u.: 0.00
DFT formation energy, kJ per mole of atoms: 2

=====

No. 12
The following is a DFT calculation (PBE) of a relaxed PuCdIn4 crystal.

Lattice parameters (Å, degrees): 5.824 6.110 5.690 57.53 78.27 67.75
Site moments in Bohr magnetons follow the coordinates.
Fractional positions:
In (0.000, 0.660, 0.680)  0.02
Cd (0.500, 0.500, 0.000)  0.02
In (0.500, 0.824, 0.351)  0.01
Pu (0.000, 0.000, 0.000)  5.58
In (0.000, 0.340, 0.320)  0.02
In (0.500, 0.176, 0.649)  0.01

Total magnetic moment, μB/f.u.: 6.14
DFT formation energy, kJ per mole of atoms: -2